Record 1
A relaxed Ta2Si crystal. Source: the Open Quantum Materials Database, functional PBE-GGA.

Geometry as CIF:
```
data_Ta2Si
_chemical_formula_sum 'Ta8 Si4'
_symmetry_space_group_name_H-M 'P 1'
_symmetry_Int_Tables_number 1
_symmetry_space_group_name_Hall 'P 1'
_cell_length_a 6.7678
_cell_length_b 3.5007
_cell_length_c 8.3399
_cell_angle_alpha 90.00
_cell_angle_beta 90.00
_cell_angle_gamma 90.00
loop_
_atom_site_label
_atom_site_type_symbol
_atom_site_fract_x
_atom_site_fract_y
_atom_site_fract_z
Si1 Si 0.7471 0.7500 0.1417
Si2 Si 0.2529 0.2500 0.8583
Si3 Si 0.7529 0.2500 0.6417
Si4 Si 0.2471 0.7500 0.3583
Ta1 Ta 0.4611 0.7500 0.6690
Ta2 Ta 0.0389 0.2500 0.1690
Ta3 Ta 0.3597 0.7500 0.0630
Ta4 Ta 0.9611 0.7500 0.8310
Ta5 Ta 0.1403 0.2500 0.5630
Ta6 Ta 0.8597 0.7500 0.4370
Ta7 Ta 0.6403 0.2500 0.9370
Ta8 Ta 0.5389 0.2500 0.3310
```

=====

Record 2
A relaxed TaSi3 crystal. Source: the Open Quantum Materials Database, functional PBE-GGA.

Geometry as CIF:
```
data_TaSi3
_chemical_formula_sum 'Ta4 Si12'
_symmetry_space_group_name_H-M 'P 1'
_symmetry_Int_Tables_number 1
_symmetry_space_group_name_Hall 'P 1'
_cell_length_a 7.3422
_cell_length_b 7.3422
_cell_length_c 7.3422
_cell_angle_alpha 96.79
_cell_angle_beta 96.79
_cell_angle_gamma 139.77
loop_
_atom_site_label
_atom_site_type_symbol
_atom_site_fract_x
_atom_site_fract_y
_atom_site_fract_z
Si1 Si 0.7415 0.0424 0.7595
Si2 Si 0.9413 0.8980 0.4228
Si3 Si 0.7778 0.6006 0.9835
Si4 Si 0.4815 0.0587 0.9567
Si5 Si 0.4752 0.5185 0.5772
Si6 Si 0.3994 0.3829 0.1771
Si7 Si 0.2057 0.2222 0.8229
Si8 Si 0.0180 0.2585 0.3009
Si9 Si 0.9576 0.7171 0.6991
Si10 Si 0.1020 0.5248 0.0433
Si11 Si 0.2829 0.9820 0.2405
Si12 Si 0.6171 0.7943 0.0165
Ta1 Ta 0.4579 0.1597 0.6296
Ta2 Ta 0.1717 0.5421 0.7018
Ta3 Ta 0.8403 0.4699 0.2982
Ta4 Ta 0.5301 0.8283 0.3704
```

=====

| no. | volume (Å³ per atom) | calculated density (g cm⁻³) | total DFT energy (no corrections) (eV/atom) |
| --- | --- | --- | --- |
| 1 | 16.47 | 13.11 | -10.2437 |
| 2 | 15.00 | 7.34 | -6.9849 |